Compound: Nd6SmDy5
Source: Alexandria
Functional: GGA-PBE
Structure: relaxed

Summary:
**V**: 401.66 Å³/cell
**Energy relative to the elements**: 0.18 eV/f.u.

abc: 5.1318 10.1839 9.5691
angles: 122.15 105.54 90.01
Last column: nearest neighbours and their distance in Å.
Element x y z (fractional)
Nd (0.8332, 0.0838, 0.6664)  7 Dy 3.60-3.62, 1 Sm 3.62, 4 Nd 3.62-3.63
Nd (0.8332, 0.5826, 0.6664)  7 Dy 3.60-3.62, 1 Sm 3.62, 4 Nd 3.62-3.63
Nd (0.4999, 0.2510, 0.0000)  6 Dy 3.60-3.63, 2 Sm 3.62, 4 Nd 3.63
Nd (0.1668, 0.4174, 0.3336)  7 Dy 3.60-3.62, 1 Sm 3.62, 4 Nd 3.62-3.63
Nd (0.1668, 0.9162, 0.3336)  7 Dy 3.60-3.62, 1 Sm 3.62, 4 Nd 3.62-3.63
Nd (0.5001, 0.7490, 0.0000)  6 Dy 3.60-3.63, 2 Sm 3.62, 4 Nd 3.63
Dy (0.0000, 0.5000, 0.0000)  8 Nd 3.61, 4 Dy 3.63
Dy (0.3328, 0.8328, 0.6656)  8 Nd 3.60-3.63, 2 Dy 3.62, 2 Sm 3.63
Dy (0.6666, 0.6666, 0.3332)  8 Nd 3.60-3.62, 4 Dy 3.62-3.63
Dy (0.6672, 0.1672, 0.3344)  8 Nd 3.60-3.63, 2 Dy 3.62, 2 Sm 3.63
Dy (0.3334, 0.3334, 0.6668)  8 Nd 3.60-3.62, 4 Dy 3.62-3.63
Sm (0.0000, 0.0000, 0.0000)  8 Nd 3.62, 4 Dy 3.63



Compound: Ba2LaSc
Source: Alexandria
Functional: GGA-PBE
Structure: relaxed

Summary:
**Offset from the most stable computed form**: 0.62 eV per formula unit
**V**: 168.39 Å³/cell
**Energy relative to the elements**: 1.29 eV/f.u.

abc: 7.5213 7.5213 7.5213
angles: 147.78 131.53 59.40
Last column: nearest neighbours and their distance in Å.
Element x y z (fractional)
La (0.7500, 0.2500, 0.5000)  4 Sc 3.73
Ba (0.4728, 0.4728, 0.0000)  2 Sc 3.58, 4 Ba 3.79
Ba (0.0272, 0.0272, 0.0000)  2 Sc 3.58, 4 Ba 3.79
Sc (0.2500, 0.7500, 0.5000)  4 Ba 3.58, 4 La 3.73



Compound: Al8Co2Ni
Source: Alexandria
Functional: GGA-PBE
Structure: relaxed

Summary:
**V**: 153.40 Å³/cell
**Energy relative to the elements**: -3.62 eV/f.u.

abc: 3.9109 6.8437 6.9558
angles: 119.47 106.33 90.00
Last column: nearest neighbours and their distance in Å.
Element x y z (fractional)
Al (0.1486, 0.1486, 0.2973)  2 Ni 2.59, 8 Al 2.65-2.74, 2 Co 2.70
Al (0.8514, 0.8514, 0.7027)  2 Ni 2.59, 8 Al 2.65-2.74, 2 Co 2.70
Al (0.3383, 0.5588, 0.6765)  3 Co 2.49-2.57, 5 Al 2.65-2.74, 1 Ni 2.66
Al (0.3383, 0.1178, 0.6765)  3 Co 2.49-2.57, 5 Al 2.65-2.74, 1 Ni 2.66
Al (0.0000, 0.3096, 0.0000)  2 Co 2.53, 7 Al 2.61-2.72
Al (0.0000, 0.6904, 0.0000)  2 Co 2.53, 7 Al 2.61-2.72
Al (0.6617, 0.4412, 0.3235)  3 Co 2.49-2.57, 5 Al 2.65-2.74, 1 Ni 2.66
Al (0.6617, 0.8822, 0.3235)  3 Co 2.49-2.57, 5 Al 2.65-2.74, 1 Ni 2.66
Ni (0.5000, 0.0000, 0.0000)  12 Al 2.59-2.88
Co (0.8109, 0.3109, 0.6217)  10 Al 2.49-2.70
Co (0.1891, 0.6891, 0.3783)  10 Al 2.49-2.70



Compound: LiYZr
Source: Alexandria
Functional: GGA-PBE
Structure: relaxed

Summary:
**Offset from the most stable computed form**: 0.90 eV per formula unit
**V**: 287.64 Å³/cell
**Energy relative to the elements**: 1.10 eV/f.u.

abc: 8.6435 6.6750 4.9855
angles: 90.00 90.00 90.00
Last column: nearest neighbours and their distance in Å.
Element x y z (fractional)
Y (0.5000, 0.0000, 0.5000)  6 Li 3.33, 6 Zr 3.33, 2 Y 3.34
Y (0.0000, 0.5000, 0.0000)  6 Li 3.33, 6 Zr 3.33, 2 Y 3.34
Y (0.0000, 0.0000, 0.0000)  6 Li 3.33, 6 Zr 3.33, 2 Y 3.34
Y (0.5000, 0.5000, 0.5000)  6 Li 3.33, 6 Zr 3.33, 2 Y 3.34
Li (0.6667, 0.2500, 0.9997)  3 Zr 2.88
Li (0.3333, 0.7500, 0.0003)  3 Zr 2.88
Li (0.1667, 0.2500, 0.5003)  3 Zr 2.88
Li (0.8333, 0.7500, 0.4997)  3 Zr 2.88
Zr (0.8333, 0.2500, 0.4998)  3 Li 2.88
Zr (0.6667, 0.7500, 0.9998)  3 Li 2.88
Zr (0.1667, 0.7500, 0.5002)  3 Li 2.88
Zr (0.3333, 0.2500, 0.0002)  3 Li 2.88